DFT (PBE) results for a relaxed structure of Ba2ReBiIr.

## Properties
Total magnetization: 4.38 μB/f.u.
Electronic total energy: -0.325 Ry/atom
Formation enthalpy at 0 K: 1.38 eV/atom
Theoretical density: 6.6 g/cm3
Density of states at the Fermi level: 5.29 states/eV per cell

Cell: 6.6129 4.9755 6.6129 Å, 90.00 90.00 90.00°
Closest atoms and distances in Å follow each position.
Fractional positions:
Re (0.5000, 0.5000, 0.5000)  8 Ba 4.14
Ir (0.0000, 0.5000, 0.0000)  2 Bi 2.49
Bi (0.0000, 0.0000, 0.0000)  2 Ir 2.49
Ba (0.0000, 0.0000, 0.5000)  2 Bi 3.31
Ba (0.5000, 0.0000, 0.0000)  2 Bi 3.31